Li4Ge2Os: optimized geometry, PBE-GGA.

abc: 5.6676 5.6676 4.5605
angles: 90.00 90.00 131.48
With the nearest neighbours (Å) after each atom.
Sites, in units of the cell vectors:
Ge  0.6269  0.3731  0.0000  1 Ge 2.62, 6 Li 2.63-2.67
Ge  0.3731  0.6269  0.0000  1 Ge 2.62, 6 Li 2.63-2.67
Li  0.0000  0.0000  0.0000  2 Os 2.28
Li  0.7595  0.2405  0.5000  2 Li 2.34, 1 Os 2.49
Li  0.5000  0.5000  0.5000  2 Os 2.33
Li  0.2405  0.7595  0.5000  2 Li 2.34, 1 Os 2.49
Os  0.0000  0.0000  0.5000  6 Li 2.28-2.49

Values from the calculation:
Uncorrected energy   -24.6 eV/cell
Magnetization   0.0 μB per formula unit
Volume   15.68 Å³/atom